Record 1
Compound: Rb2BrO4
Source: Alexandria via LeMat-Bulk
Functional: PBE
Structure: optimized geometry

Cell lengths 6.0475, 6.0475, 6.5430 Å; angles 122.42, 122.42, 80.78 degrees
With the nearest neighbours (Å) after each atom.
Fractional positions:
Rb 0.7503 0.2497 0.5000  8 O 3.02-3.17
Rb 0.2503 0.7497 0.5000  8 O 3.02-3.17
O 0.1748 0.1975 0.3723  1 Br 1.80
O 0.8025 0.8252 0.6277  1 Br 1.80
O 0.1723 0.2007 0.0000  1 Br 1.79
O 0.7993 0.8277 0.0000  1 Br 1.79
Br 0.0503 0.9497 0.0000  4 O 1.79-1.80

- energy above the lowest structure with this stoichiometry (meV per atom) = 267
- energy relative to the elements, uncorrected (kJ/mol of atoms) = -53.9

---

Record 2
Compound: Te2IrBr
Source: Alexandria via LeMat-Bulk
Functional: PBE
Structure: optimized geometry

Cell lengths 4.1193, 4.1193, 8.2979 Å; angles 90.00, 90.00, 120.00 degrees
With the nearest neighbours (Å) after each atom.
Fractional positions:
Te 0.3333 0.6667 0.8346  1 Br 2.59, 3 Ir 2.61
Te 0.6667 0.3333 0.1340  3 Ir 2.77
Ir 0.0000 0.0000 0.9636  6 Te 2.61-2.77
Br 0.3333 0.6667 0.5228  1 Te 2.59

- energy above the lowest structure with this stoichiometry (meV per atom) = 4
- D(E_F) (states/eV/f.u.) = 0.00
- energy relative to the elements, uncorrected (kJ/mol of atoms) = -25.1

---

Record 3
Compound: SiTeSI2
Source: Alexandria via LeMat-Bulk
Functional: PBE
Structure: optimized geometry

Cell lengths 5.4072, 5.4072, 5.4930 Å; angles 90.00, 90.00, 90.00 degrees
With the nearest neighbours (Å) after each atom.
Fractional positions:
Te 0.0000 0.0000 0.5000  2 Si 2.75
I 0.5000 0.0000 0.0000  2 Si 2.70
I 0.0000 0.5000 0.0000  2 Si 2.70
Si 0.0000 0.0000 0.0000  4 I 2.70, 2 Te 2.75
S 0.5000 0.5000 0.5000  4 Te 3.82, 8 I 3.85

- energy above the lowest structure with this stoichiometry (meV per atom) = 0
- D(E_F) (states/eV/f.u.) = 5.24
- energy relative to the elements, uncorrected (kJ/mol of atoms) = 67.9

---

Record 4
Compound: LiYSi2
Source: Alexandria via LeMat-Bulk
Functional: PBE
Structure: optimized geometry

Cell lengths 3.0567, 3.8880, 6.0720 Å; angles 90.00, 90.00, 90.00 degrees
With the nearest neighbours (Å) after each atom.
Fractional positions:
Li 0.5000 0.5000 0.7500  8 Si 2.75, 2 Y 3.04, 2 Li 3.06
Si 0.0000 0.0000 0.9496  1 Si 2.42
Si 0.0000 0.0000 0.5504  1 Si 2.42
Y 0.5000 0.5000 0.2500  2 Li 3.04, 2 Y 3.06, 8 Si 3.07

- energy above the lowest structure with this stoichiometry (meV per atom) = 251
- D(E_F) (states/eV/f.u.) = 1.60
- energy relative to the elements, uncorrected (kJ/mol of atoms) = -31.6

---

Record 5
Compound: CaBe2Ge2
Source: Alexandria via LeMat-Bulk
Functional: PBE
Structure: optimized geometry

Cell lengths 4.0283, 4.0283, 9.8758 Å; angles 90.00, 90.00, 90.00 degrees
With the nearest neighbours (Å) after each atom.
Fractional positions:
Ge 0.5000 0.0000 0.3679  5 Be 2.30-2.40
Ge 0.0000 0.5000 0.6321  5 Be 2.30-2.40
Ge 0.0000 0.0000 0.0000  4 Be 2.42
Ge 0.5000 0.5000 0.0000  4 Be 2.42
Be 0.5000 0.5000 0.5000  4 Ge 2.40
Be 0.5000 0.0000 0.1350  5 Ge 2.30-2.42
Be 0.0000 0.0000 0.5000  4 Ge 2.40
Be 0.0000 0.5000 0.8650  5 Ge 2.30-2.42
Ca 0.0000 0.5000 0.2539  8 Ge 3.06-3.22, 8 Be 3.08-3.16
Ca 0.5000 0.0000 0.7461  8 Ge 3.06-3.22, 8 Be 3.08-3.16

- energy above the lowest structure with this stoichiometry (meV per atom) = 0
- D(E_F) (states/eV/f.u.) = 1.02
- formation energy (eV/atom) = -0.269

---

Record 6
Compound: Ba2PCl
Source: Alexandria via LeMat-Bulk
Functional: PBE
Structure: optimized geometry

Cell lengths 4.5862, 4.5862, 8.4689 Å; angles 74.29, 74.29, 60.00 degrees
With the nearest neighbours (Å) after each atom.
Fractional positions:
P 0.6674 0.6674 0.9977  6 Ba 3.17
Ba 0.2619 0.2619 0.2143  3 P 3.17, 3 Cl 3.55
Ba 0.0733 0.0733 0.7802  3 P 3.17, 3 Cl 3.44
Cl 0.4974 0.4974 0.5077  6 Ba 3.44-3.55

- energy above the lowest structure with this stoichiometry (meV per atom) = 37
- energy relative to the elements, uncorrected (kJ/mol of atoms) = -156.8

---

Record 7
Compound: EuHoSb2
Source: Alexandria via LeMat-Bulk
Functional: PBE
Structure: optimized geometry

Cell lengths 4.4446, 4.4446, 7.8510 Å; angles 73.56, 73.56, 60.00 degrees
With the nearest neighbours (Å) after each atom.
Fractional positions:
Sb 0.2451 0.2451 0.2647  3 Ho 3.10, 3 Eu 3.23
Sb 0.7549 0.7549 0.7353  3 Ho 3.10, 3 Eu 3.23
Ho 0.5000 0.5000 0.5000  6 Sb 3.10
Eu 0.0000 0.0000 0.0000  6 Sb 3.23

- energy above the lowest structure with this stoichiometry (meV per atom) = 0
- D(E_F) (states/eV/f.u.) = 12.22
- energy relative to the elements, uncorrected (kJ/mol of atoms) = -96.1

---

Record 8
Compound: SiNi5B2
Source: Alexandria via LeMat-Bulk
Functional: PBE
Structure: optimized geometry

Cell lengths 2.6890, 5.4344, 6.1493 Å; angles 116.22, 102.63, 90.00 degrees
With the nearest neighbours (Å) after each atom.
Fractional positions:
Ni 0.3500 0.6172 0.7000  3 B 2.05-2.06
Ni 0.6500 0.9172 0.3000  3 B 2.05-2.06
Ni 0.0000 0.5000 0.0000  2 B 2.12
Ni 0.6500 0.3828 0.3000  3 B 2.05-2.06
Ni 0.3500 0.0828 0.7000  3 B 2.05-2.06
B 0.8016 0.3016 0.6033  7 Ni 2.05-2.12
B 0.1984 0.6984 0.3967  7 Ni 2.05-2.12
Si 0.0000 0.0000 0.0000  10 Ni 2.45-2.72, 2 Si 2.69

- energy above the lowest structure with this stoichiometry (meV per atom) = 79
- D(E_F) (states/eV/f.u.) = 4.02
- energy relative to the elements, uncorrected (kJ/mol of atoms) = -27.4

---

Record 9
Compound: FeSI2N
Source: Alexandria via LeMat-Bulk
Functional: PBE
Structure: optimized geometry

Cell lengths 5.3736, 5.3736, 3.4577 Å; angles 90.00, 90.00, 90.00 degrees
With the nearest neighbours (Å) after each atom.
Fractional positions:
I 0.5000 0.0000 0.0000  2 Fe 2.69
I 0.0000 0.5000 0.0000  2 Fe 2.69
S 0.5000 0.5000 0.5000  8 I 3.19, 2 S 3.46
Fe 0.0000 0.0000 0.0000  2 N 1.73
N 0.0000 0.0000 0.5000  2 Fe 1.73

- energy above the lowest structure with this stoichiometry (meV per atom) = 0
- D(E_F) (states/eV/f.u.) = 4.88
- energy relative to the elements, uncorrected (kJ/mol of atoms) = 65.5

---

Record 10
Compound: NdAg6
Source: Alexandria via LeMat-Bulk
Functional: PBE
Structure: optimized geometry

Cell lengths 5.7316, 8.9394, 11.3006 Å; angles 90.00, 90.00, 90.00 degrees
With the nearest neighbours (Å) after each atom.
Fractional positions:
Ag 0.0090 0.4376 0.1916  9 Ag 2.75-2.99
Ag 0.2500 0.3948 0.9801  7 Ag 2.79-3.03
Ag 0.7500 0.1850 0.2357  9 Ag 2.75-3.05
Ag 0.7500 0.4337 0.4132  6 Ag 2.77-3.03
Ag 0.7500 0.6850 0.2643  9 Ag 2.75-3.05
Ag 0.7500 0.6052 0.0199  7 Ag 2.79-3.03
Ag 0.7500 0.8542 0.8502  8 Ag 2.77-3.05
Ag 0.4910 0.9376 0.3084  9 Ag 2.75-2.99
Ag 0.7500 0.1052 0.4801  7 Ag 2.79-3.03
Ag 0.0090 0.9376 0.3084  9 Ag 2.75-2.99
Ag 0.5090 0.0624 0.6916  9 Ag 2.75-2.99
Ag 0.2500 0.6458 0.3502  8 Ag 2.77-3.05
Ag 0.9910 0.0624 0.6916  9 Ag 2.75-2.99
Ag 0.7500 0.9337 0.0868  6 Ag 2.77-3.03
Ag 0.2500 0.8948 0.5199  7 Ag 2.79-3.03
Ag 0.7500 0.3542 0.6498  8 Ag 2.77-3.05
Ag 0.2500 0.8150 0.7643  9 Ag 2.75-3.05
Ag 0.2500 0.5663 0.5868  6 Ag 2.77-3.03
Ag 0.2500 0.3150 0.7357  9 Ag 2.75-3.05
Ag 0.5090 0.5624 0.8084  9 Ag 2.75-2.99
Ag 0.9910 0.5624 0.8084  9 Ag 2.75-2.99
Ag 0.4910 0.4376 0.1916  9 Ag 2.75-2.99
Ag 0.2500 0.0663 0.9132  6 Ag 2.77-3.03
Ag 0.2500 0.1458 0.1498  8 Ag 2.77-3.05
Nd 0.7500 0.7423 0.5678  13 Ag 3.22-3.59
Nd 0.2500 0.7577 0.0678  13 Ag 3.22-3.59
Nd 0.7500 0.2423 0.9322  13 Ag 3.22-3.59
Nd 0.2500 0.2577 0.4322  13 Ag 3.22-3.59

- energy above the lowest structure with this stoichiometry (meV per atom) = 0
- D(E_F) (states/eV/f.u.) = 2.05
- formation energy (eV/atom) = -0.122

---

Record 11
Compound: CrInPd2
Source: Alexandria via LeMat-Bulk
Functional: PBE
Structure: optimized geometry

Cell lengths 3.7685, 4.2010, 4.2010 Å; angles 90.00, 90.00, 90.00 degrees
With the nearest neighbours (Å) after each atom.
Fractional positions:
In 0.5000 0.5000 0.5000  8 Pd 2.82, 4 Cr 2.97
Cr 0.5000 0.0000 0.0000  8 Pd 2.82, 4 In 2.97
Pd 0.0000 0.5000 0.0000  4 Cr 2.82, 4 In 2.82, 4 Pd 2.97
Pd 0.0000 0.0000 0.5000  4 Cr 2.82, 4 In 2.82, 4 Pd 2.97

- D(E_F) (states/eV/f.u.) = 2.21
- formation energy (eV/atom) = -0.232

---

Record 12
Compound: AgIrAu2
Source: Alexandria via LeMat-Bulk
Functional: PBE
Structure: optimized geometry

Cell lengths 2.8097, 4.9708, 4.9099 Å; angles 90.00, 90.00, 90.00 degrees
With the nearest neighbours (Å) after each atom.
Fractional positions:
Au 0.5000 0.5000 0.0000  6 Au 2.81-2.85, 4 Ag 2.83
Au 0.0000 0.0000 0.0000  6 Au 2.81-2.85, 4 Ir 2.83
Ir 0.5000 0.0000 0.5000  2 Ir 2.81, 4 Au 2.83, 4 Ag 2.85
Ag 0.0000 0.5000 0.5000  2 Ag 2.81, 4 Au 2.83, 4 Ir 2.85

- energy above the lowest structure with this stoichiometry (meV per atom) = 118
- D(E_F) (states/eV/f.u.) = 3.19
- formation energy (eV/atom) = 0.340

---

Results for M_tot: 0.97 0.00 1.29 0.28 0.00 0.00 6.60 0.00 0.00 0.00 4.39 0.00 (in μB per cell, following the order of the records).
Results for VASP energy: -0.2872 -0.3281 -0.1804 -0.3773 -0.2945 -0.3235 -0.4976 -0.4590 -0.3031 -0.2386 -0.4350 -0.3107 (in Ry/atom, following the order of the records).